(1)
4
Lattice="-1.524 -3.978 1.755 0.943 -1.099 4.374 -3.360 0.010 3.153" Properties=species:S:1:pos:R:3 comment="ReAg2Au PBE relaxed" dos_at_fermi_per_ev_cell=2.11 crystal_system=cubic ef_mev_per_atom=862 energy_ev_per_atom=-4.4949 de_polymorph_ev_per_atom=0.483 spacegroup="Fm-3m, No. 225" pbc="T T T"
Ag -0.985 -1.267 2.321
Ag -2.956 -3.801 6.962
Re 0.000 0.000 0.000
Au -1.970 -2.534 4.641



(2)
4
Lattice="4.478 0.000 0.000 0.000 2.711 -0.022 0.000 1.401 5.634" Properties=species:S:1:pos:R:3 comment="ReAg2Au PBE relaxed" dos_at_fermi_per_ev_cell=3.12 crystal_system=orthorhombic ef_mev_per_atom=553 energy_ev_per_atom=-4.8041 de_polymorph_ev_per_atom=0.174 spacegroup="Amm2, No. 38" pbc="T T T"
Re 2.239 2.915 4.042
Ag 0.000 0.168 0.098
Ag 2.239 1.534 1.288
Au 0.000 1.552 2.990



(3)
4
Lattice="-2.442 0.005 -1.278 0.980 -1.763 -1.879 -2.640 -6.817 5.019" Properties=species:S:1:pos:R:3 comment="ReAg2Au PBE relaxed" dos_at_fermi_per_ev_cell=2.28 crystal_system=tetragonal ef_mev_per_atom=398 energy_ev_per_atom=-4.9587 de_polymorph_ev_per_atom=0.019 spacegroup="P4mm, No. 99" pbc="T T T"
Re -2.708 -5.982 2.179
Au -1.341 -3.463 2.550
Ag -2.624 -6.776 4.989
Ag -1.389 -2.579 -0.327



(4)
4
Lattice="-0.418 -2.368 -1.301 2.173 -0.415 1.606 -5.691 -2.824 6.971" Properties=species:S:1:pos:R:3 comment="ReAg2Au PBE relaxed" dos_at_fermi_per_ev_cell=2.24 crystal_system=orthorhombic ef_mev_per_atom=424 energy_ev_per_atom=-4.9335 de_polymorph_ev_per_atom=0.044 spacegroup="Cmm2, No. 35" pbc="T T T"
Au -2.872 -1.426 3.519
Re -3.387 -3.508 5.376
Ag -5.671 -2.814 6.946
Ag -0.541 -2.096 1.891